First-principles (GGA-PBE) data for a geometry-optimized Ce2Tm2Se7 structure, as listed in the Alexandria database.

Unit cell a=4.0937 b=8.8107 c=8.8107 alpha=61.67 beta=76.57 gamma=76.57
With the nearest neighbours (Å) after each atom.
Fractional positions:
Ce 0.7396 0.8494 0.6714  7 Se 2.85-3.08
Ce 0.2604 0.3286 0.1506  7 Se 2.85-3.08
Tm 0.0000 0.7857 0.2143  8 Se 2.81-3.06
Tm 0.5000 0.3275 0.6725  7 Se 2.88-2.96
Se 0.8179 0.0719 0.2924  1 Tm 2.81, 3 Ce 2.85-2.95
Se 0.8633 0.4196 0.8539  2 Tm 2.88, 2 Ce 3.08
Se 0.5000 0.0084 0.9916  3 Tm 2.87-2.88
Se 0.6085 0.4961 0.2869  3 Tm 2.96-3.06, 2 Ce 3.02, 1 Se 3.16
Se 0.3915 0.7131 0.5039  3 Tm 2.96-3.06, 2 Ce 3.02, 1 Se 3.16
Se 0.1821 0.7076 0.9281  1 Tm 2.81, 3 Ce 2.85-2.95
Se 0.1367 0.1461 0.5804  2 Tm 2.88, 2 Ce 3.08

Properties
Total magnetic moment in μB per atom: 0.0335
ΔE_f (raw) in meV/atom: -1686